Model i:
Crystalline TaPt2Cl at its relaxed geometry. Source: the Alexandria database, functional PBE.

Output
- D(E_F): 2.0 states/eV/f.u.

Geometry as POSCAR:
```
TaPt2Cl
1.0
-2.686 -0.926 1.485
1.239 -2.458 0.709
5.090 -1.670 8.164
Ta Pt Cl
1 2 1
Cartesian
0.239 -1.495 2.961
2.776 -1.546 4.056
0.389 -0.519 0.380
3.404 -3.559 7.397
```

Model ii:
Crystalline TaPt2Cl at its relaxed geometry. Source: the Alexandria database, functional PBE.

Output
- D(E_F): 2.1 states/eV/f.u.

Geometry as POSCAR:
```
TaPt2Cl
1.0
4.525 0.000 0.000
2.262 3.919 0.000
2.262 1.306 3.695
Pt Cl Ta
2 1 1
Cartesian
2.262 1.306 0.924
0.000 0.000 0.000
4.525 2.612 1.847
6.787 3.919 2.771
```

Model iii:
Crystalline TaPt2Cl at its relaxed geometry. Source: the Alexandria database, functional PBE.

Output
- D(E_F): 2.9 states/eV/f.u.

Geometry as POSCAR:
```
TaPt2Cl
1.0
-0.532 -0.056 -2.866
3.092 -2.377 -0.528
-3.583 -6.835 0.798
Ta Pt Cl
1 2 1
Cartesian
0.720 -4.690 -0.043
2.245 -2.634 -0.366
-0.414 -2.615 -1.355
-0.728 -6.311 -1.225
```

So which one is most stable? That would be model iii, about 50 meV/atom below the next structure.

Model i:
Crystalline TaPt2Cl at its relaxed geometry. Source: the Alexandria database, functional PBE.

Output
- D(E_F): 4.2 states/eV/f.u.

Geometry as POSCAR:
```
TaPt2Cl
1.0
4.629 0.000 0.000
0.000 3.810 0.000
0.000 0.000 3.810
Cl Pt Ta
1 2 1
Cartesian
2.314 0.000 1.905
0.000 0.000 0.000
0.000 1.905 1.905
2.314 1.905 0.000
```

Model ii:
Crystalline TaPt2Cl at its relaxed geometry. Source: the Alexandria database, functional PBE.

Output
- D(E_F): 1.7 states/eV/f.u.

Geometry as POSCAR:
```
TaPt2Cl
1.0
7.493 0.097 -0.002
5.609 4.969 0.002
-6.169 -3.522 2.387
Pt Ta Cl
2 1 1
Cartesian
2.603 -0.962 1.192
0.510 0.197 0.000
6.266 2.423 0.000
4.105 2.420 1.195
```

So which one is most stable? That would be model ii, about 663 meV/atom below the next structure.

Model i:
Crystalline TaPt2Cl at its relaxed geometry. Source: the Alexandria database, functional PBE.

Output
- D(E_F): 4.0 states/eV/f.u.

Geometry as POSCAR:
```
TaPt2Cl
1.0
5.195 -0.024 -0.084
-2.518 4.544 -0.084
0.054 0.090 2.862
Cl Ta Pt
1 1 2
Cartesian
-1.232 2.317 1.389
2.624 0.033 1.389
0.000 0.000 0.000
1.339 2.260 -0.084
```

Model ii:
Crystalline TaPt2Cl at its relaxed geometry. Source: the Alexandria database, functional PBE.

Output
- D(E_F): 2.8 states/eV/f.u.

Geometry as POSCAR:
```
TaPt2Cl
1.0
-4.886 2.107 -2.595
-5.113 -2.939 -0.522
4.313 2.476 3.212
Ta Cl Pt
1 1 2
Cartesian
-2.787 2.084 -0.471
-2.900 -0.439 0.566
-5.291 -0.440 -1.649
-9.707 -0.808 -3.026
```

Model iii:
Crystalline TaPt2Cl at its relaxed geometry. Source: the Alexandria database, functional PBE.

Output
- D(E_F): 3.2 states/eV/f.u.

Geometry as POSCAR:
```
TaPt2Cl
1.0
-7.174 4.622 4.783
-8.758 2.486 3.582
-7.368 2.029 6.107
Cl Pt Ta
1 2 1
Cartesian
-17.909 7.023 11.124
-5.643 2.213 3.505
-23.054 9.040 14.319
-11.645 4.566 7.233
```

So which one is most stable? That would be model iii, about 206 meV/atom below the next structure.

Model i:
Crystalline TaPtCl at its relaxed geometry. Source: the Alexandria database, functional PBE.

Output
- D(E_F): 2.1 states/eV/f.u.

Geometry as POSCAR:
```
TaPtCl
1.0
-1.539 5.077 5.425
-4.165 4.885 4.046
-1.012 -1.758 2.173
Cl Ta Pt
1 1 1
Cartesian
-1.255 -1.152 2.550
-4.135 6.044 7.031
-2.338 1.553 4.235
```

Model ii:
Crystalline TaPtCl at its relaxed geometry. Source: the Alexandria database, functional PBE.

Output
- D(E_F): 3.4 states/eV/f.u.

Geometry as POSCAR:
```
TaPtCl
1.0
-1.040 0.188 4.310
-2.991 -2.812 1.685
1.298 -3.240 2.739
Cl Ta Pt
1 1 1
Cartesian
-1.366 -2.932 4.367
0.000 0.000 0.000
-2.050 -4.398 6.551
```

Model iii:
Crystalline TaPtCl at its relaxed geometry. Source: the Alexandria database, functional PBE.

Output
- D(E_F): 1.8 states/eV/f.u.

Geometry as POSCAR:
```
TaPtCl
1.0
4.355 0.000 0.000
2.178 3.772 0.000
2.178 1.257 3.556
Pt Cl Ta
1 1 1
Cartesian
4.355 2.515 1.778
0.000 0.000 0.000
6.533 3.772 2.667
```

So which one is most stable? That would be model i, about 452 meV/atom below the next structure.

Model i:
Crystalline TcPtCl2 at its relaxed geometry. Source: the Alexandria database, functional PBE.

Output
- D(E_F): 2.1 states/eV/f.u.

Geometry as POSCAR:
```
TcPtCl2
1.0
-0.250 -2.986 -0.165
1.048 -0.243 2.802
-7.901 0.495 2.999
Pt Tc Cl
1 1 2
Cartesian
-4.219 0.264 1.601
-5.332 -1.255 3.494
-2.170 -1.453 2.293
-7.234 0.453 2.746
```

Model ii:
Crystalline TcPtCl2 at its relaxed geometry. Source: the Alexandria database, functional PBE.

Output
- D(E_F): 2.4 states/eV/f.u.

Geometry as POSCAR:
```
TcPtCl2
1.0
-5.847 -0.913 1.360
-2.505 -2.200 5.075
4.027 3.946 -2.255
Cl Pt Tc
2 1 1
Cartesian
-1.327 0.095 3.018
0.000 0.000 0.000
-4.176 -1.557 3.217
-2.998 0.738 1.161
```

So which one is most stable? That would be model i, about 660 meV/atom below the next structure.

Model i:
Crystalline TcPtCl at its relaxed geometry. Source: the Alexandria database, functional PBE.

Output
- D(E_F): 2.8 states/eV/f.u.

Geometry as POSCAR:
```
TcPtCl
1.0
7.831 0.105 -0.062
6.988 2.859 -0.053
0.842 -1.320 2.417
Tc Pt Cl
1 1 1
Cartesian
10.039 1.499 0.751
5.214 0.020 1.625
1.251 -1.195 2.342
```

Model ii:
Crystalline TcPtCl at its relaxed geometry. Source: the Alexandria database, functional PBE.

Output
- D(E_F): 1.0 states/eV/f.u.

Geometry as POSCAR:
```
TcPtCl
1.0
4.251 0.000 0.000
2.126 3.682 0.000
2.126 1.227 3.471
Cl Pt Tc
1 1 1
Cartesian
0.000 0.000 0.000
4.251 2.455 1.736
6.377 3.682 2.603
```

So which one is most stable? That would be model i, about 175 meV/atom below the next structure.

Model i:
Crystalline TcPtCl at its relaxed geometry. Source: the Alexandria database, functional PBE.

Output
- D(E_F): 2.5 states/eV/f.u.

Geometry as POSCAR:
```
TcPtCl
1.0
2.913 0.000 0.000
-1.456 2.522 0.000
0.000 0.000 6.709
Pt Cl Tc
1 1 1
Cartesian
1.456 0.841 2.473
0.000 0.000 6.383
0.000 1.682 4.563
```

Model ii:
Crystalline TcPtCl at its relaxed geometry. Source: the Alexandria database, functional PBE.

Output
- D(E_F): 2.9 states/eV/f.u.

Geometry as POSCAR:
```
TcPtCl
1.0
-2.254 -6.420 0.212
1.275 -6.404 -1.923
1.546 6.099 2.599
Pt Cl Tc
1 1 1
Cartesian
-0.693 -9.076 -1.211
-0.939 -12.301 -1.641
-0.326 -4.271 -0.570
```

Model iii:
Crystalline TcPtCl at its relaxed geometry. Source: the Alexandria database, functional PBE.

Output
- D(E_F): 3.3 states/eV/f.u.

Geometry as POSCAR:
```
TcPtCl
1.0
3.964 0.000 0.000
-1.982 3.433 0.000
0.000 0.000 3.610
Pt Tc Cl
1 1 1
Cartesian
1.982 1.144 1.257
0.000 2.289 2.623
0.000 0.000 3.341
```

So which one is most stable? That would be model i, about 71 meV/atom below the next structure.

Model i:
Crystalline Te2Pt2Cl at its relaxed geometry. Source: the Alexandria database, functional PBE.

Output
- D(E_F): 2.8 states/eV/f.u.

Geometry as POSCAR:
```
Te2Pt2Cl
1.0
3.948 0.000 0.000
0.000 3.948 0.000
1.974 1.974 7.506
Pt Cl Te
2 1 2
Cartesian
3.948 1.974 3.753
1.974 3.948 3.753
0.000 0.000 0.000
1.974 1.974 1.894
3.948 3.948 5.612
```

Model ii:
Crystalline Te2Pt2Cl at its relaxed geometry. Source: the Alexandria database, functional PBE.

Output
- D(E_F): 2.7 states/eV/f.u.

Geometry as POSCAR:
```
Te2Pt2Cl
1.0
5.220 0.000 0.000
0.000 5.220 0.000
2.610 2.610 4.168
Te Cl Pt
2 1 2
Cartesian
5.220 2.610 2.084
2.610 5.220 2.084
0.000 0.000 0.000
5.220 5.220 2.845
2.610 2.610 1.322
```

Model iii:
Crystalline Te2Pt2Cl at its relaxed geometry. Source: the Alexandria database, functional PBE.

Output
- D(E_F): 2.3 states/eV/f.u.

Geometry as POSCAR:
```
Te2Pt2Cl
1.0
-3.677 1.015 -1.088
0.863 -0.907 -3.764
-0.962 -7.334 3.637
Pt Te Cl
2 2 1
Cartesian
-3.013 -4.881 -1.605
-0.763 -2.345 0.390
-1.558 -4.788 0.796
-2.218 -2.438 -2.011
0.000 0.000 0.000
```

So which one is most stable? That would be model iii, about 73 meV/atom below the next structure.

Model i:
Crystalline Te3PtCl at its relaxed geometry. Source: the Alexandria database, functional PBE.

Geometry as POSCAR:
```
Te3PtCl
1.0
-6.899 -1.726 0.694
2.370 -9.631 -1.278
-0.039 4.169 9.090
Te Pt Cl
12 4 4
Cartesian
1.148 -5.146 0.720
-5.716 -2.042 7.786
-2.273 0.290 8.653
-3.354 0.017 5.594
1.330 -4.060 7.344
-4.150 -9.586 2.229
-2.295 -7.477 -0.147
-2.716 -0.728 1.969
-1.852 -6.459 6.537
-1.214 -7.205 2.912
-5.898 -3.127 1.162
-0.418 2.399 6.277
-2.948 -10.105 -0.141
-4.810 0.567 7.877
0.242 -7.755 0.629
-1.620 2.917 8.647
-5.001 -6.607 4.779
0.433 -0.580 3.727
-2.548 -4.132 2.054
-2.020 -3.055 6.452
```

Model ii:
Crystalline Te3PtCl at its relaxed geometry. Source: the Alexandria database, functional PBE.

Output
- D(E_F): 7.9 states/eV/f.u.

Geometry as POSCAR:
```
Te3PtCl
1.0
5.256 0.000 0.000
0.000 5.256 0.000
0.000 0.000 5.256
Te Pt Cl
3 1 1
Cartesian
2.628 0.000 0.000
0.000 0.000 2.628
0.000 2.628 0.000
2.628 2.628 2.628
0.000 0.000 0.000
```

Model iii:
Crystalline Te3PtCl at its relaxed geometry. Source: the Alexandria database, functional PBE.

Output
- D(E_F): 8.7 states/eV/f.u.

Geometry as POSCAR:
```
Te3PtCl
1.0
-4.119 2.979 1.633
-3.179 -4.285 -0.202
1.198 -1.128 5.079
Cl Te Pt
1 3 1
Cartesian
-3.050 -1.217 3.255
-2.059 1.489 0.817
-1.589 -2.142 -0.101
0.599 -0.564 2.539
0.000 0.000 0.000
```

So which one is most stable? That would be model i, about 708 meV/atom below the next structure.

Model i:
Crystalline Ti3PtCl at its relaxed geometry. Source: the Alexandria database, functional PBE.

Output
- D(E_F): 3.6 states/eV/f.u.

Geometry as POSCAR:
```
Ti3PtCl
1.0
-2.639 -3.998 1.131
3.115 -1.017 3.673
-2.750 2.685 3.076
Cl Pt Ti
1 1 3
Cartesian
-1.137 -1.166 3.940
0.000 0.000 0.000
1.558 -0.509 1.836
-1.319 -1.999 0.565
-1.375 1.342 1.538
```

Model ii:
Crystalline Ti3PtCl at its relaxed geometry. Source: the Alexandria database, functional PBE.

Output
- D(E_F): 6.3 states/eV/f.u.

Geometry as POSCAR:
```
Ti3PtCl
1.0
4.389 0.000 0.000
0.000 4.389 0.000
0.000 0.000 4.389
Ti Cl Pt
3 1 1
Cartesian
0.000 2.195 0.000
0.000 0.000 2.195
2.195 0.000 0.000
0.000 0.000 0.000
2.195 2.195 2.195
```

So which one is most stable? That would be model ii, about 428 meV/atom below the next structure.

Model i:
Crystalline Ti2PtCl at its relaxed geometry. Source: the Alexandria database, functional PBE.

Output
- D(E_F): 4.5 states/eV/f.u.

Geometry as POSCAR:
```
Ti2PtCl
1.0
0.000 3.188 3.188
3.188 0.000 3.188
3.188 3.188 0.000
Cl Ti Pt
1 2 1
Cartesian
0.000 0.000 0.000
4.782 4.782 4.782
1.594 1.594 1.594
3.188 3.188 3.188
```

Model ii:
Crystalline Ti2PtCl at its relaxed geometry. Source: the Alexandria database, functional PBE.

Output
- D(E_F): 4.5 states/eV/f.u.

Geometry as POSCAR:
```
Ti2PtCl
1.0
6.603 0.000 0.000
0.000 6.603 0.000
3.302 3.302 3.224
Cl Ti Pt
2 4 2
Cartesian
3.302 6.603 1.612
3.302 3.302 0.000
4.822 1.651 0.806
1.781 4.952 0.806
8.254 8.124 2.418
4.952 5.083 2.418
0.000 0.000 0.000
6.603 3.302 1.612
```

So which one is most stable? That would be model ii, about 31 meV/atom below the next structure.